A relaxed structure of SrTa2Zn, computed with PBE-GGA.

```
SrTa2Zn
1.0
0.000 3.464 3.464
3.464 0.000 3.464
3.464 3.464 0.000
Sr Ta Zn
1 2 1
direct
0.000 0.000 0.000
0.500 0.500 0.500
0.750 0.750 0.750
0.250 0.250 0.250
```

Results
**Density of states at the Fermi level**: 0.6 states/eV/cell
**Space group**: F-43m
**Formation energy**: 0.73 eV per atom

---

A relaxed structure of ZrMo2W, computed with PBE-GGA.

```
ZrMo2W
1.0
-3.668 3.668 2.791
3.668 -3.668 2.791
3.668 3.668 -2.791
Zr Mo W
2 4 2
direct
0.000 0.000 0.000
0.750 0.250 0.500
0.151 0.625 0.026
0.375 0.401 0.526
0.599 0.125 0.974
0.875 0.849 0.474
0.250 0.750 0.500
0.500 0.500 0.000
```

Results
**Density of states at the Fermi level**: 8.3 states/eV/cell
**Space group**: I-42d
**E above lowest polymorph**: 736 meV/atom
**Formation energy**: 0.71 eV per atom

---

A relaxed structure of Rb2Tl4CdHg3, computed with PBE-GGA.

```
Rb2Tl4CdHg3
1.0
5.194 0.000 0.000
0.000 5.194 0.000
0.000 0.000 12.991
Rb Tl Cd Hg
2 4 1 3
direct
0.000 0.500 0.247
0.500 0.000 0.753
0.000 0.000 0.500
0.000 0.500 0.874
0.500 0.000 0.126
0.500 0.500 0.500
0.500 0.500 0.000
0.000 0.000 0.000
0.000 0.500 0.637
0.500 0.000 0.363
```

Results
**Density of states at the Fermi level**: 6.6 states/eV/cell
**Space group**: P-4m2
**Formation energy**: -0.10 eV per atom

---

A relaxed structure of Na3ScO, computed with PBE-GGA.

```
Na3ScO
1.0
6.103 0.000 0.000
0.000 6.103 0.000
0.000 0.000 6.103
Na Sc O
3 1 1
direct
0.000 0.000 0.500
0.000 0.500 0.000
0.500 0.000 0.000
0.000 0.000 0.000
0.500 0.500 0.500
```

Results
**Density of states at the Fermi level**: 4.6 states/eV/cell
**Uncorrected formation energy**: 568 kJ/mol of formula units
**Space group**: Pm-3m
**E above lowest polymorph**: 1312 meV/atom

---

A relaxed structure of CeSnBi, computed with PBE-GGA.

```
CeSnBi
1.0
2.325 -8.512 0.000
2.325 8.512 0.000
0.000 0.000 4.490
Ce Sn Bi
2 2 2
direct
0.100 0.900 0.750
0.900 0.100 0.250
0.442 0.558 0.750
0.558 0.442 0.250
0.251 0.749 0.250
0.749 0.251 0.750
```

Results
**Density of states at the Fermi level**: 11.7 states/eV/cell
**Space group**: Cmcm
**E above lowest polymorph**: 0 meV/atom
**Formation energy**: -0.60 eV per atom

---

A relaxed structure of Nd2SmLu, computed with PBE-GGA.

```
Nd2SmLu
1.0
0.000 4.064 4.064
4.064 0.000 4.064
4.064 4.064 0.000
Nd Sm Lu
2 1 1
direct
0.250 0.250 0.250
0.750 0.750 0.750
0.000 0.000 0.000
0.500 0.500 0.500
```

Results
**Density of states at the Fermi level**: 8.2 states/eV/cell
**Space group**: Fm-3m
**E above lowest polymorph**: 103 meV/atom
**Formation energy**: 0.12 eV per atom